Record 1
This record from OQMD describes a relaxed structure of Y2Fe17C3. The functional is PBE-GGA.

abc: 6.481 6.481 6.481
angles: 83.26 83.26 83.26
Element x y z (fractional)
Y 0.157 0.157 0.157
Y 0.843 0.843 0.843
Fe 0.000 0.500 0.500
Fe 0.157 0.157 0.645
Fe 0.157 0.645 0.157
Fe 0.216 0.500 0.784
Fe 0.216 0.784 0.500
Fe 0.355 0.843 0.843
Fe 0.405 0.405 0.405
Fe 0.500 0.000 0.500
Fe 0.500 0.216 0.784
Fe 0.500 0.500 0.000
Fe 0.500 0.784 0.216
Fe 0.595 0.595 0.595
Fe 0.645 0.157 0.157
Fe 0.784 0.216 0.500
Fe 0.784 0.500 0.216
Fe 0.843 0.355 0.843
Fe 0.843 0.843 0.355
C 0.000 0.000 0.500
C 0.000 0.500 0.000
C 0.500 0.000 0.000

As for the total energy: -8.345 eV/atom. Its total magnetic moment is 34.42 μB per formula unit. The volume comes out at 12.14 A^3/atom.

Record 2
This record from OQMD describes a relaxed structure of NaLaHgSe3. The functional is PBE-GGA.

abc: 8.156 4.298 10.148
angles: 90.00 102.68 90.00
Element x y z (fractional)
Na 0.246 0.250 0.259
Na 0.754 0.750 0.741
La 0.301 0.750 0.864
La 0.699 0.250 0.136
Hg 0.094 0.250 0.606
Hg 0.906 0.750 0.394
Se 0.035 0.250 0.852
Se 0.263 0.750 0.542
Se 0.452 0.750 0.157
Se 0.548 0.250 0.843
Se 0.737 0.250 0.458
Se 0.965 0.750 0.148

Its total magnetic moment is 0.00 μB per formula unit. The volume comes out at 28.92 A^3/atom. Its polymorph energy (0 for the lowest one) is 22 meV per atom.

Record 3
This record from OQMD describes a relaxed structure of YTlCuAg. The functional is PBE-GGA.

abc: 6.933 6.933 6.933
angles: 90.00 90.00 90.00
Element x y z (fractional)
Y 0.000 0.000 0.000
Y 0.000 0.500 0.500
Y 0.500 0.000 0.500
Y 0.500 0.500 0.000
Tl 0.250 0.250 0.250
Tl 0.250 0.750 0.750
Tl 0.750 0.250 0.750
Tl 0.750 0.750 0.250
Cu 0.000 0.000 0.500
Cu 0.000 0.500 0.000
Cu 0.500 0.000 0.000
Cu 0.500 0.500 0.500
Ag 0.250 0.250 0.750
Ag 0.250 0.750 0.250
Ag 0.750 0.250 0.250
Ag 0.750 0.750 0.750

Its total magnetic moment is 0.00 μB per formula unit. The volume comes out at 20.83 A^3/atom. Its polymorph energy (0 for the lowest one) is 92 meV per atom.